[1]
## CaEr3Ru2 (GGA-PBE)

Data for CaEr3Ru2 after structural relaxation.

Lattice parameters (Å, degrees): 3.419 3.419 12.583 90.00 90.00 90.00
Fractional positions:
1 Ru 0.500 0.500 0.860
2 Ru 0.500 0.500 0.140
3 Er 0.000 0.000 0.000
4 Er 0.000 0.000 0.739
5 Er 0.000 0.000 0.261
6 Ca 0.500 0.500 0.500

space group: P4/mmm (123)
energy of formation: -1.9 eV/f.u.
E above lowest polymorph: 0 meV/atom


[2]
## CaErRu4 (GGA-PBE)

Data for CaErRu4 after structural relaxation.

Lattice parameters (Å, degrees): 5.326 5.326 5.326 60.00 60.00 60.00
Fractional positions:
1 Ru 0.625 0.125 0.625
2 Ru 0.125 0.625 0.625
3 Ru 0.625 0.625 0.125
4 Ru 0.625 0.625 0.625
5 Er 0.000 0.000 0.000
6 Ca 0.250 0.250 0.250

space group: F-43m (216)
energy of formation: -0.7 eV/f.u.


[3]
## CaErRu (GGA-PBE)

Data for CaErRu after structural relaxation.

Lattice parameters (Å, degrees): 4.734 4.740 8.549 73.94 90.00 119.96
Fractional positions:
1 Er 0.127 0.254 0.118
2 Er 0.873 0.746 0.882
3 Ru 0.758 0.517 0.225
4 Ru 0.242 0.483 0.775
5 Ca 0.376 0.752 0.373
6 Ca 0.624 0.248 0.627

space group: R-3m (166)
energy of formation: 0.0 eV/f.u.
E above lowest polymorph: 135 meV/atom


[4]
## CaErRu (GGA-PBE)

Data for CaErRu after structural relaxation.

Lattice parameters (Å, degrees): 3.448 3.448 6.836 104.61 104.61 90.00
Fractional positions:
1 Er 0.289 0.289 0.578
2 Ca 0.033 0.033 0.067
3 Ru 0.678 0.678 0.356

space group: I4mm (107)
energy of formation: -0.4 eV/f.u.
E above lowest polymorph: 0 meV/atom


[5]
## CaEr3S4 (GGA-PBE)

Data for CaEr3S4 after structural relaxation.

Lattice parameters (Å, degrees): 5.496 5.496 6.749 114.03 114.03 90.00
Fractional positions:
1 Er 0.500 0.500 0.000
2 Er 0.250 0.750 0.500
3 Er 0.750 0.250 0.500
4 S 0.250 0.250 0.500
5 S 0.750 0.750 0.500
6 S 0.500 0.000 0.000
7 S 0.000 0.500 0.000
8 Ca 0.000 0.000 0.000

space group: I4/mmm (139)
raw total energy: -6.019 eV/atom


[6]
## Ca6ErS8 (GGA-PBE)

Data for Ca6ErS8 after structural relaxation.

Lattice parameters (Å, degrees): 8.060 8.060 8.060 60.00 60.00 60.00
Fractional positions:
1 S 0.762 0.238 0.762
2 S 0.750 0.750 0.750
3 S 0.762 0.762 0.238
4 S 0.250 0.250 0.250
5 S 0.238 0.238 0.762
6 S 0.762 0.238 0.238
7 S 0.238 0.762 0.238
8 S 0.238 0.762 0.762
9 Ca 0.000 0.500 0.000
10 Ca 0.500 0.000 0.000
11 Ca 0.500 0.500 0.000
12 Ca 0.500 0.000 0.500
13 Ca 0.000 0.500 0.500
14 Ca 0.000 0.000 0.500
15 Er 0.000 0.000 0.000

space group: Fm-3m (225)
raw total energy: -5.297 eV/atom


[7]
## CaEr4S6 (GGA-PBE)

Data for CaEr4S6 after structural relaxation.

Lattice parameters (Å, degrees): 3.856 6.679 19.869 90.00 90.00 106.78
Fractional positions:
1 S 0.045 0.089 0.337
2 S 0.045 0.089 0.163
3 S 0.230 0.459 0.586
4 S 0.500 0.000 0.500
5 S 0.314 0.627 0.250
6 S 0.686 0.373 0.750
7 S 0.955 0.911 0.663
8 S 0.230 0.459 0.914
9 S 0.955 0.911 0.837
10 S 0.770 0.541 0.414
11 S 0.770 0.541 0.086
12 S 0.500 0.000 0.000
13 Er 0.137 0.275 0.459
14 Er 0.137 0.275 0.041
15 Er 0.863 0.725 0.541
16 Er 0.594 0.188 0.630
17 Er 0.594 0.188 0.870
18 Er 0.406 0.812 0.130
19 Er 0.863 0.725 0.959
20 Er 0.406 0.812 0.370
21 Ca 0.657 0.313 0.250
22 Ca 0.343 0.687 0.750

space group: Cmcm (63)
raw total energy: -6.141 eV/atom


[8]
## Ca4ErS5 (GGA-PBE)

Data for Ca4ErS5 after structural relaxation.

Lattice parameters (Å, degrees): 3.988 3.988 14.443 97.93 97.93 90.00
Fractional positions:
1 Ca 0.199 0.199 0.399
2 Ca 0.801 0.801 0.601
3 Ca 0.401 0.401 0.802
4 Ca 0.599 0.599 0.198
5 S 0.699 0.699 0.399
6 S 0.301 0.301 0.601
7 S 0.903 0.903 0.806
8 S 0.097 0.097 0.194
9 S 0.500 0.500 0.000
10 Er 0.000 0.000 0.000

space group: I4/mmm (139)
raw total energy: -5.424 eV/atom


[9]
## Ca5Er3S8 (GGA-PBE)

Data for Ca5Er3S8 after structural relaxation.

Lattice parameters (Å, degrees): 7.896 7.896 7.935 60.16 60.16 60.00
Fractional positions:
1 Ca 0.500 0.500 0.500
2 Ca 0.500 0.500 0.000
3 Ca 0.000 0.000 0.000
4 Ca 0.000 0.500 0.000
5 Ca 0.500 0.000 0.000
6 Er 0.000 0.500 0.500
7 Er 0.500 0.000 0.500
8 Er 0.000 0.000 0.500
9 S 0.243 0.750 0.257
10 S 0.750 0.243 0.257
11 S 0.753 0.753 0.741
12 S 0.247 0.247 0.259
13 S 0.750 0.750 0.257
14 S 0.250 0.250 0.743
15 S 0.757 0.250 0.743
16 S 0.250 0.757 0.743

space group: R-3m (166)
raw total energy: -5.614 eV/atom


[10]
## Ca3ErS4 (GGA-PBE)

Data for Ca3ErS4 after structural relaxation.

Lattice parameters (Å, degrees): 3.972 6.902 6.902 109.34 90.00 90.00
Fractional positions:
1 Er 0.500 0.000 0.000
2 S 0.500 0.245 0.755
3 S 0.500 0.755 0.245
4 S 0.000 0.758 0.758
5 S 0.000 0.242 0.242
6 Ca 0.500 0.500 0.500
7 Ca 0.000 0.000 0.500
8 Ca 0.000 0.500 0.000

space group: Cmmm (65)
raw total energy: -5.477 eV/atom


[11]
## CaEr2S4 (GGA-PBE)

Data for CaEr2S4 after structural relaxation.

Lattice parameters (Å, degrees): 3.877 12.920 13.090 90.00 90.00 90.00
Fractional positions:
1 Ca 0.250 0.869 0.918
2 Ca 0.750 0.631 0.418
3 Ca 0.750 0.131 0.082
4 Ca 0.250 0.369 0.582
5 Er 0.750 0.893 0.584
6 Er 0.250 0.607 0.084
7 Er 0.750 0.853 0.203
8 Er 0.250 0.147 0.797
9 Er 0.250 0.107 0.416
10 Er 0.250 0.647 0.703
11 Er 0.750 0.393 0.916
12 Er 0.750 0.353 0.297
13 S 0.250 0.718 0.262
14 S 0.750 0.530 0.618
15 S 0.250 0.034 0.617
16 S 0.250 0.757 0.526
17 S 0.250 0.218 0.238
18 S 0.750 0.782 0.762
19 S 0.250 0.257 0.974
20 S 0.750 0.030 0.882
21 S 0.750 0.743 0.026
22 S 0.750 0.466 0.117
23 S 0.250 0.534 0.883
24 S 0.750 0.243 0.474
25 S 0.750 0.966 0.383
26 S 0.250 0.970 0.118
27 S 0.750 0.282 0.738
28 S 0.250 0.470 0.382

space group: Pnma (62)
E above lowest polymorph: 0 meV/atom


[12]
## CaEr2S4 (GGA-PBE)

Data for CaEr2S4 after structural relaxation.

Lattice parameters (Å, degrees): 6.697 6.697 13.215 90.00 90.00 146.34
Fractional positions:
1 S 0.723 0.277 0.370
2 S 0.459 0.541 0.500
3 S 0.541 0.459 0.000
4 S 0.267 0.733 0.136
5 S 0.009 0.991 0.744
6 S 0.277 0.723 0.870
7 S 0.733 0.267 0.636
8 S 0.991 0.009 0.244
9 Ca 0.113 0.887 0.512
10 Ca 0.887 0.113 0.012
11 Er 0.639 0.361 0.824
12 Er 0.629 0.371 0.181
13 Er 0.371 0.629 0.681
14 Er 0.361 0.639 0.324

space group: Cmc2_1 (36)
E above lowest polymorph: 13 meV/atom


For the records above, the corresponding spin magnetization values read 0.00, 0.00, 0.00, 0.00, 0.00, 0.00, 0.00, 0.00, 0.00, 0.00, 0.00, 0.00 μB/f.u..